No. 1
Computed, not measured: Er13Sc2 after structural relaxation at the PBE level of DFT.

Computed properties:
Density: 8.438 g/cm3
Total magnetization: 0.00 μB/cell
Formation energy from the elements: 0.074 eV per atom

Unit cell a=6.4669 b=8.7795 c=8.7720 alpha=114.57 beta=81.42 gamma=98.78
Atoms (fractional coordinates):
Er 0.7063 0.6320 0.0305
Er 0.2937 0.3680 0.9695
Er 0.0000 0.0000 0.0000
Er 0.2935 0.0325 0.6302
Er 0.7065 0.9675 0.3698
Er 0.0969 0.5541 0.7482
Er 0.9031 0.4459 0.2518
Er 0.4025 0.6020 0.4017
Er 0.5975 0.3980 0.5983
Er 0.4948 0.8311 0.8323
Er 0.5052 0.1689 0.1677
Er 0.7995 0.1991 0.7989
Er 0.2005 0.8009 0.2011
Sc 0.8958 0.7753 0.5775
Sc 0.1042 0.2247 0.4225



No. 2
Computed, not measured: Nd3Ga2Hg4 after structural relaxation at the PBE level of DFT.

Computed properties:
Density: 10.172 g/cm3
Total magnetization: 0.00 μB/cell
Formation energy from the elements: -0.488 eV per atom

Unit cell a=4.8406 b=6.1116 c=9.1525 alpha=113.29 beta=90.00 gamma=113.33
Atoms (fractional coordinates):
Nd 0.6642 0.3284 0.6711
Nd 0.0000 0.0000 0.0000
Nd 0.3358 0.6716 0.3289
Ga 0.6075 0.2150 0.2759
Ga 0.3925 0.7850 0.7241
Hg 0.6984 0.3967 0.0391
Hg 0.3016 0.6033 0.9609
Hg 0.9180 0.8361 0.5907
Hg 0.0820 0.1639 0.4093



No. 3
Computed, not measured: Na2NbPd after structural relaxation at the PBE level of DFT.

Computed properties:
Energy above the lowest structure with this stoichiometry: 165 meV/atom
Density: 5.200 g/cm3
Total magnetization: 0.00 μB/cell
Formation energy from the elements: 1.037 eV per atom

Unit cell a=4.8027 b=4.8027 c=4.8027 alpha=60.00 beta=60.00 gamma=60.00
Atoms (fractional coordinates):
Na 0.2500 0.2500 0.2500
Na 0.7500 0.7500 0.7500
Nb 0.0000 0.0000 0.0000
Pd 0.5000 0.5000 0.5000



No. 4
Computed, not measured: Zn2AsAu after structural relaxation at the PBE level of DFT.

Computed properties:
Density: 9.640 g/cm3
Total magnetization: 0.00 μB/cell
Formation energy from the elements: 0.042 eV per atom

Unit cell a=8.2558 b=8.2558 c=8.2558 alpha=22.02 beta=22.02 gamma=22.02
Atoms (fractional coordinates):
As 0.2500 0.2500 0.2500
Au 0.7500 0.7500 0.7500
Zn 0.0012 0.0012 0.0012
Zn 0.4988 0.4988 0.4988



No. 5
Computed, not measured: SrCoP2 after structural relaxation at the PBE level of DFT.

Computed properties:
Energy above the lowest structure with this stoichiometry: 424 meV/atom
Density: 3.690 g/cm3
Total magnetization: 0.00 μB/cell
Formation energy from the elements: -0.236 eV per atom

Unit cell a=5.3465 b=5.3465 c=5.3465 alpha=135.49 beta=114.89 gamma=82.30
Atoms (fractional coordinates):
Co 0.0558 0.5558 0.5000
P 0.1301 0.1301 0.0000
P 0.8014 0.3014 0.5000
Sr 0.5127 0.5127 0.0000



No. 6
Computed, not measured: La2MgInOs after structural relaxation at the PBE level of DFT.

Computed properties:
Energy above the lowest structure with this stoichiometry: 15 meV/atom
Density: 6.236 g/cm3
Total magnetization: 0.00 μB/cell
Formation energy from the elements: -0.098 eV per atom

Unit cell a=5.5206 b=5.5206 c=5.3048 alpha=90.00 beta=90.00 gamma=90.00
Atoms (fractional coordinates):
Mg 0.5000 0.5000 0.5000
In 0.0000 0.0000 0.5000
Os 0.0000 0.0000 0.0000
La 0.0000 0.5000 0.0000
La 0.5000 0.0000 0.0000



> density of number 4 (Zn2AsAu)?

9.640 g/cm3



> Which of these has the lowest formation energy from the elements?

Nd3Ga2Hg4